No. 1
# MoHI2O (PBE with a Hubbard U, optimized geometry)
# Offset from the most stable computed form   0 meV/atom
data_MoHI2O
_chemical_formula_sum 'Mo1 H1 I2 O1'
_cell_length_a 5.8302
_cell_length_b 5.8302
_cell_length_c 3.8615
_cell_angle_alpha 90.00
_cell_angle_beta 90.00
_cell_angle_gamma 90.00
_symmetry_space_group_name_H-M 'P 1'
_symmetry_Int_Tables_number 1
loop_
_symmetry_equiv_pos_as_xyz
'x,y,z'
loop_
_atom_site_label
_atom_site_type_symbol
_atom_site_fract_x
_atom_site_fract_y
_atom_site_fract_z
Mo1 Mo 0.0000 0.0000 0.0000
H1 H 0.5000 0.5000 0.5000
I1 I 0.0000 0.5000 0.0000
I2 I 0.5000 0.0000 0.0000
O1 O 0.0000 0.0000 0.5000

No. 2
# MoHIO2 (PBE with a Hubbard U, optimized geometry)
# Offset from the most stable computed form   1170 meV/atom
data_MoHIO2
_chemical_formula_sum 'Mo1 H1 I1 O2'
_cell_length_a 4.2966
_cell_length_b 4.2966
_cell_length_c 3.5554
_cell_angle_alpha 90.00
_cell_angle_beta 90.00
_cell_angle_gamma 90.00
_symmetry_space_group_name_H-M 'P 1'
_symmetry_Int_Tables_number 1
loop_
_symmetry_equiv_pos_as_xyz
'x,y,z'
loop_
_atom_site_label
_atom_site_type_symbol
_atom_site_fract_x
_atom_site_fract_y
_atom_site_fract_z
Mo1 Mo 0.0000 0.0000 0.0000
H1 H 0.5000 0.5000 0.5000
I1 I 0.5000 0.5000 0.0000
O1 O 0.0000 0.5000 0.5000
O2 O 0.5000 0.0000 0.5000

No. 3
# MoHI2O (PBE with a Hubbard U, optimized geometry)
# Offset from the most stable computed form   630 meV/atom
data_MoHI2O
_chemical_formula_sum 'Mo1 H1 I2 O1'
_cell_length_a 6.0230
_cell_length_b 6.0230
_cell_length_c 2.9514
_cell_angle_alpha 90.00
_cell_angle_beta 90.00
_cell_angle_gamma 90.00
_symmetry_space_group_name_H-M 'P 1'
_symmetry_Int_Tables_number 1
loop_
_symmetry_equiv_pos_as_xyz
'x,y,z'
loop_
_atom_site_label
_atom_site_type_symbol
_atom_site_fract_x
_atom_site_fract_y
_atom_site_fract_z
Mo1 Mo 0.0000 0.0000 0.0000
H1 H 0.5000 0.5000 0.5000
I1 I 0.0000 0.5000 0.5000
I2 I 0.5000 0.0000 0.5000
O1 O 0.5000 0.5000 0.0000

No. 4
# MoHIO2 (PBE with a Hubbard U, optimized geometry)
# Offset from the most stable computed form   0 meV/atom
data_MoHIO2
_chemical_formula_sum 'Mo1 H1 I1 O2'
_cell_length_a 3.8446
_cell_length_b 3.8446
_cell_length_c 5.9486
_cell_angle_alpha 90.00
_cell_angle_beta 90.00
_cell_angle_gamma 90.00
_symmetry_space_group_name_H-M 'P 1'
_symmetry_Int_Tables_number 1
loop_
_symmetry_equiv_pos_as_xyz
'x,y,z'
loop_
_atom_site_label
_atom_site_type_symbol
_atom_site_fract_x
_atom_site_fract_y
_atom_site_fract_z
Mo1 Mo 0.0000 0.0000 0.0000
H1 H 0.5000 0.5000 0.5000
I1 I 0.0000 0.0000 0.5000
O1 O 0.0000 0.5000 0.0000
O2 O 0.5000 0.0000 0.0000

The highest offset from the most stable computed form belongs to which entry? number 2